First-principles (PBE) data for Fe3TcBr after structural relaxation, as listed in Alexandria via LeMat-Bulk.

The calculation puts the uncorrected formation energy at 701 kJ/mol of formula units. For the density, the calculation gives 5.68 Mg/m³. Its space-group type is No. 221. Its polymorph energy (0 for the lowest one) is 0 meV per atom. The value obtained for the total energy is -30.16 eV for the cell shown.

Unit cell a=4.657 b=4.657 c=4.657 alpha=90.00 beta=90.00 gamma=90.00
Site moments in Bohr magnetons follow the coordinates.
Sites, in units of the cell vectors:
Fe (0.500, 0.000, 0.000)  2.37
Tc (0.000, 0.000, 0.000)  -0.22
Fe (0.000, 0.000, 0.500)  2.92
Br (0.500, 0.500, 0.500)  0.14
Fe (0.000, 0.500, 0.000)  2.88